# Tl3BiRu (PBE-GGA, optimized geometry)
# DFT formation energy ... 0.438 eV/atom
# Relative energy among the computed polymorphs ... 0.000 eV per atom
# Total DFT energy (no corrections) ... -3.61 eV/atom
data_Tl3BiRu
_chemical_formula_sum 'Tl3 Bi1 Ru1'
_symmetry_space_group_name_H-M 'P 1'
_symmetry_Int_Tables_number 1
_cell_length_a 5.327
_cell_length_b 5.327
_cell_length_c 5.327
_cell_angle_alpha 90.00
_cell_angle_beta 90.00
_cell_angle_gamma 90.00
loop_
_symmetry_equiv_pos_as_xyz
'x,y,z'
loop_
_atom_site_label
_atom_site_type_symbol
_atom_site_fract_x
_atom_site_fract_y
_atom_site_fract_z
Tl1 Tl 0.000 0.000 0.500
Tl2 Tl 0.000 0.500 0.000
Tl3 Tl 0.500 0.000 0.000
Bi1 Bi 0.500 0.500 0.500
Ru1 Ru 0.000 0.000 0.000